DFT (PBE) results for an optimized crystal structure of Ta2Se2S.

Calculated values
The symmetry is I4/mmm (139). The calculation puts the magnetic moment at 0.00 μB/cell. The total energy comes out at -34.39 eV/cell.

Geometry as POSCAR:
```
Ta2Se2S
1.0
-2.281 2.281 4.965
2.281 -2.281 4.965
2.281 2.281 -4.965
Ta Se S
2 2 1
direct
0.250 0.750 0.500 Ta
0.750 0.250 0.500 Ta
0.138 0.138 0.000 Se
0.862 0.862 0.000 Se
0.500 0.500 0.000 S
```